# 1
# La2PbS2

A relaxed structure of La2PbS2 (PBE-GGA, the Alexandria database).

Calculated values
As for the uncorrected formation energy: -1372.5 meV/atom. As for the space group: No. 127. The electronic total energy is -57.36 eV per cell. For the mass density, the calculation gives 7.1 g/cm3.

Unit cell a=8.3688 b=8.3688 c=3.6576 alpha=90.00 beta=90.00 gamma=90.00
Fractional positions:
1 La 0.1623 0.3377 0.0000
2 La 0.3377 0.8377 0.0000
3 La 0.6623 0.1623 0.0000
4 La 0.8377 0.6623 0.0000
5 Pb 0.0000 0.0000 0.5000
6 Pb 0.5000 0.5000 0.5000
7 S 0.1348 0.6348 0.5000
8 S 0.3652 0.1348 0.5000
9 S 0.6348 0.8652 0.5000
10 S 0.8652 0.3652 0.5000

# 2
# La2PbS

A relaxed structure of La2PbS (PBE-GGA, the Alexandria database).

Calculated values
As for the uncorrected formation energy: -1206.2 meV/atom. As for the space group: No. 123. The electronic total energy is -22.52 eV per cell. For the mass density, the calculation gives 7.9 g/cm3.

Unit cell a=3.6043 b=3.6043 c=8.3156 alpha=90.00 beta=90.00 gamma=90.00
Fractional positions:
1 La 0.0000 0.0000 0.2176
2 La 0.0000 0.0000 0.7824
3 Pb 0.5000 0.5000 0.5000
4 S 0.5000 0.5000 0.0000

# 3
# La4Pb2S

A relaxed structure of La4Pb2S (PBE-GGA, the Alexandria database).

Calculated values
As for the uncorrected formation energy: -867.6 meV/atom. As for the space group: No. 139. The electronic total energy is -37.33 eV per cell. For the mass density, the calculation gives 6.7 g/cm3.

Unit cell a=9.3164 b=9.3164 c=9.3164 alpha=146.34 beta=146.34 gamma=48.34
Fractional positions:
1 La 0.0000 0.5000 0.5000
2 La 0.1709 0.1709 0.0000
3 La 0.5000 0.0000 0.5000
4 La 0.8291 0.8291 0.0000
5 Pb 0.3649 0.3649 0.0000
6 Pb 0.6351 0.6351 0.0000
7 S 0.0000 0.0000 0.0000

# 4
# LaPb2S

A relaxed structure of LaPb2S (PBE-GGA, the Alexandria database).

Calculated values
As for the uncorrected formation energy: -437.9 meV/atom. As for the space group: No. 122. The electronic total energy is -36.45 eV per cell. For the mass density, the calculation gives 7.3 g/cm3.

Unit cell a=7.4630 b=7.4630 c=7.4630 alpha=97.98 beta=97.98 gamma=136.26
Fractional positions:
1 La 0.0000 0.0000 0.0000
2 La 0.7500 0.2500 0.5000
3 Pb 0.2203 0.6250 0.0953
4 Pb 0.3750 0.4703 0.5953
5 Pb 0.5297 0.1250 0.9047
6 Pb 0.8750 0.7797 0.4047
7 S 0.2500 0.7500 0.5000
8 S 0.5000 0.5000 0.0000

# 5
# LaPb2S4

A relaxed structure of LaPb2S4 (PBE-GGA, the Alexandria database).

Calculated values
As for the uncorrected formation energy: -972.7 meV/atom. As for the space group: No. 63. The electronic total energy is -71.33 eV per cell. For the mass density, the calculation gives 6.1 g/cm3.

Unit cell a=7.1490 b=7.1490 c=13.2681 alpha=90.00 beta=90.00 gamma=146.60
Fractional positions:
1 La 0.1051 0.8949 0.7500
2 La 0.8949 0.1051 0.2500
3 Pb 0.3667 0.6333 0.5627
4 Pb 0.3667 0.6333 0.9373
5 Pb 0.6333 0.3667 0.0627
6 Pb 0.6333 0.3667 0.4373
7 S 0.0000 0.0000 0.0000
8 S 0.0000 0.0000 0.5000
9 S 0.2848 0.7152 0.1346
10 S 0.2848 0.7152 0.3654
11 S 0.4591 0.5409 0.7500
12 S 0.5409 0.4591 0.2500
13 S 0.7152 0.2848 0.6346
14 S 0.7152 0.2848 0.8654

# 6
# LaPb6S8

A relaxed structure of LaPb6S8 (PBE-GGA, the Alexandria database).

Calculated values
As for the uncorrected formation energy: -608.0 meV/atom. As for the space group: No. 148. The electronic total energy is -69.32 eV per cell. For the mass density, the calculation gives 6.4 g/cm3.

Unit cell a=7.7427 b=7.7427 c=7.7427 alpha=102.40 beta=102.40 gamma=102.40
Fractional positions:
1 La 0.0000 0.0000 0.0000
2 Pb 0.1078 0.3262 0.5725
3 Pb 0.3262 0.5725 0.1078
4 Pb 0.4275 0.8922 0.6738
5 Pb 0.5725 0.1078 0.3262
6 Pb 0.6738 0.4275 0.8922
7 Pb 0.8922 0.6738 0.4275
8 S 0.1583 0.6988 0.8002
9 S 0.1998 0.8417 0.3012
10 S 0.3012 0.1998 0.8417
11 S 0.3016 0.3016 0.3016
12 S 0.6984 0.6984 0.6984
13 S 0.6988 0.8002 0.1583
14 S 0.8002 0.1583 0.6988
15 S 0.8417 0.3012 0.1998

# 7
# LaPb3S

A relaxed structure of LaPb3S (PBE-GGA, the Alexandria database).

Calculated values
As for the uncorrected formation energy: -86.0 meV/atom. As for the space group: No. 221. The electronic total energy is -20.61 eV per cell. For the mass density, the calculation gives 8.0 g/cm3.

Unit cell a=5.4899 b=5.4899 c=5.4899 alpha=90.00 beta=90.00 gamma=90.00
Fractional positions:
1 La 0.0000 0.0000 0.0000
2 Pb 0.0000 0.5000 0.5000
3 Pb 0.5000 0.0000 0.5000
4 Pb 0.5000 0.5000 0.0000
5 S 0.5000 0.5000 0.5000

# 8
# La2Pb2S5

A relaxed structure of La2Pb2S5 (PBE-GGA, the Alexandria database).

Calculated values
As for the uncorrected formation energy: -1404.9 meV/atom. As for the space group: No. 64. The electronic total energy is -101.11 eV per cell. For the mass density, the calculation gives 6.2 g/cm3.

Unit cell a=8.3079 b=8.3079 c=7.9380 alpha=90.00 beta=90.00 gamma=56.70
Fractional positions:
1 La 0.1593 0.8407 0.8398
2 La 0.3407 0.6593 0.3398
3 La 0.6593 0.3407 0.6602
4 La 0.8407 0.1593 0.1602
5 Pb 0.1991 0.1991 0.5000
6 Pb 0.3009 0.3009 0.0000
7 Pb 0.6991 0.6991 0.0000
8 Pb 0.8009 0.8009 0.5000
9 S 0.0000 0.0000 0.5000
10 S 0.0241 0.7150 0.1508
11 S 0.2150 0.5241 0.6508
12 S 0.2850 0.9759 0.1508
13 S 0.4759 0.7850 0.6508
14 S 0.5000 0.5000 0.0000
15 S 0.5241 0.2150 0.3492
16 S 0.7150 0.0241 0.8492
17 S 0.7850 0.4759 0.3492
18 S 0.9759 0.2850 0.8492

# 9
# La2PbS

A relaxed structure of La2PbS (PBE-GGA, the Alexandria database).

Calculated values
As for the uncorrected formation energy: -895.6 meV/atom. As for the space group: No. 122. The electronic total energy is -42.55 eV per cell. For the mass density, the calculation gives 5.3 g/cm3.

Unit cell a=8.7154 b=8.7154 c=8.7154 alpha=134.99 beta=134.99 gamma=65.55
Fractional positions:
1 La 0.0835 0.6250 0.9585
2 La 0.3750 0.3335 0.4585
3 La 0.6665 0.1250 0.0415
4 La 0.8750 0.9165 0.5415
5 Pb 0.2500 0.7500 0.5000
6 Pb 0.5000 0.5000 0.0000
7 S 0.0000 0.0000 0.0000
8 S 0.7500 0.2500 0.5000

# 10
# La7PbS5

A relaxed structure of La7PbS5 (PBE-GGA, the Alexandria database).

Calculated values
As for the uncorrected formation energy: -1756.7 meV/atom. As for the space group: No. 2. The electronic total energy is -163.35 eV per cell. For the mass density, the calculation gives 6.1 g/cm3.

Unit cell a=4.2560 b=7.1621 c=25.0487 alpha=90.02 beta=90.00 gamma=107.23
Fractional positions:
1 La 0.0221 0.0431 0.2500
2 La 0.1351 0.2698 0.9644
3 La 0.1358 0.2712 0.5357
4 La 0.3247 0.6490 0.3293
5 La 0.3256 0.6508 0.1706
6 La 0.4061 0.8129 0.8927
7 La 0.4069 0.8145 0.6074
8 La 0.5931 0.1855 0.3926
9 La 0.5939 0.1871 0.1073
10 La 0.6744 0.3492 0.8294
11 La 0.6753 0.3510 0.6707
12 La 0.8642 0.7288 0.4643
13 La 0.8649 0.7302 0.0356
14 La 0.9779 0.9569 0.7500
15 Pb 0.2975 0.5955 0.7501
16 Pb 0.7025 0.4045 0.2499
17 S 0.0408 0.0825 0.6398
18 S 0.0410 0.0830 0.8602
19 S 0.2272 0.4544 0.0693
20 S 0.2276 0.4553 0.4308
21 S 0.5000 0.0000 0.0000
22 S 0.5000 0.0000 0.5000
23 S 0.7724 0.5447 0.5692
24 S 0.7728 0.5456 0.9307
25 S 0.9590 0.9170 0.1398
26 S 0.9592 0.9175 0.3602

# 11
# La2PbS

A relaxed structure of La2PbS (PBE-GGA, the Alexandria database).

Calculated values
As for the uncorrected formation energy: -948.2 meV/atom. As for the space group: No. 225. The electronic total energy is -21.48 eV per cell. For the mass density, the calculation gives 7.5 g/cm3.

Unit cell a=5.4564 b=5.4564 c=5.4564 alpha=60.00 beta=60.00 gamma=60.00
Fractional positions:
1 La 0.2500 0.2500 0.2500
2 La 0.7500 0.7500 0.7500
3 Pb 0.0000 0.0000 0.0000
4 S 0.5000 0.5000 0.5000

# 12
# La2PbS

A relaxed structure of La2PbS (PBE-GGA, the Alexandria database).

Calculated values
As for the uncorrected formation energy: -1274.0 meV/atom. As for the space group: No. 160. The electronic total energy is -22.79 eV per cell. For the mass density, the calculation gives 7.1 g/cm3.

Unit cell a=8.8727 b=8.8727 c=8.8727 alpha=26.38 beta=26.38 gamma=26.38
Fractional positions:
1 La 0.0000 0.0000 0.0000
2 La 0.2015 0.2015 0.2015
3 Pb 0.4336 0.4336 0.4336
4 S 0.6012 0.6012 0.6012